Arrangement w

Sc2Ta: optimized geometry, PBE.

Cell lengths 3.0401, 4.9186, 8.5525 Å; angles 90.00, 90.00, 90.00 degrees
Space group Pmmm (No. 47)
One atom of each set of equivalent atoms:
Sc 0.0000 0.0000 0.0000 [1 per cell]
Sc 0.0000 0.5000 0.5000 [1 per cell]
Sc 0.5000 0.0000 0.3251 [2 per cell]
Ta 0.5000 0.5000 0.1578 [2 per cell]

Calculated values
spin magnetization: 0.0 μB per cell
density of states at the Fermi level: 3.6 states/eV/f.u.
calculated density: 7034 kg/m³


Arrangement x

Sc2Ta: optimized geometry, PBE.

Cell lengths 11.5842, 3.0972, 7.4501 Å; angles 90.00, 104.49, 90.00 degrees
Space group Cm (No. 8)
One atom of each set of equivalent atoms:
Sc 0.0000 0.0000 0.0000 [2 per cell]
Sc 0.0548 0.0000 0.6152 [2 per cell]
Sc 0.1624 0.5000 0.3245 [2 per cell]
Sc 0.3236 0.0000 0.6637 [2 per cell]
Ta 0.2335 0.5000 0.9622 [2 per cell]
Ta 0.3798 0.0000 0.2637 [2 per cell]

Calculated values
spin magnetization: 0.0 μB per cell
density of states at the Fermi level: 4.0 states/eV/f.u.
calculated density: 6952 kg/m³


Arrangement y

Sc2Ta: optimized geometry, PBE.

Cell lengths 5.0683, 5.0683, 2.9938 Å; angles 90.00, 90.00, 90.00 degrees
Space group P4/mmm (No. 123)
One atom of each set of equivalent atoms:
Sc 0.0000 0.5000 0.0000 [2 per cell]
Ta 0.0000 0.0000 0.5000 [1 per cell]

Calculated values
spin magnetization: 0.0 μB per cell
density of states at the Fermi level: 3.2 states/eV/f.u.
calculated density: 5848 kg/m³


On energetic grounds, arrangement w is preferred over the next structure by 0.6 kJ/mol of atoms.


Arrangement w

Sc2Ta: optimized geometry, PBE.

Cell lengths 11.6551, 3.0442, 8.6204 Å; angles 90.00, 122.04, 90.00 degrees
Space group Cm (No. 8)
One atom of each set of equivalent atoms:
Sc 0.0000 0.0000 0.0000 [2 per cell]
Sc 0.0095 0.5000 0.3404 [2 per cell]
Sc 0.2277 0.5000 0.9971 [2 per cell]
Sc 0.2553 0.0000 0.6791 [2 per cell]
Ta 0.2557 0.0000 0.3426 [2 per cell]
Ta 0.4723 0.5000 0.6376 [2 per cell]

Calculated values
spin magnetization: 0.0 μB per cell
density of states at the Fermi level: 3.9 states/eV/f.u.
calculated density: 6939 kg/m³


Arrangement x

Sc2Ta: optimized geometry, PBE.

Cell lengths 6.7440, 6.7440, 6.7440 Å; angles 90.00, 90.00, 90.00 degrees
Space group Fm-3m (No. 225)
One atom of each set of equivalent atoms:
Sc 0.2500 0.2500 0.2500 [8 per cell]
Ta 0.0000 0.0000 0.0000 [4 per cell]

Calculated values
spin magnetization: 7.6 μB per cell
density of states at the Fermi level: 4.3 states/eV/f.u.
calculated density: 5866 kg/m³


Arrangement y

Sc2Ta: optimized geometry, PBE.

Cell lengths 5.0579, 3.1043, 16.4729 Å; angles 90.00, 90.00, 90.00 degrees
Space group Amm2 (No. 38)
One atom of each set of equivalent atoms:
Sc 0.0000 0.0000 0.0000 [2 per cell]
Sc 0.0000 0.0000 0.3252 [2 per cell]
Sc 0.0000 0.0000 0.6650 [2 per cell]
Sc 0.5000 0.0000 0.8904 [2 per cell]
Ta 0.5000 0.0000 0.2138 [2 per cell]
Ta 0.5000 0.0000 0.5635 [2 per cell]

Calculated values
spin magnetization: 0.0 μB per cell
density of states at the Fermi level: 3.5 states/eV/f.u.
calculated density: 6956 kg/m³


Arrangement z

Sc2Ta: optimized geometry, PBE.

Cell lengths 5.5717, 5.5717, 9.4920 Å; angles 90.00, 90.00, 120.00 degrees
Space group P6_3/mmc (No. 194)
One atom of each set of equivalent atoms:
Sc 0.0000 0.0000 0.0000 [2 per cell]
Sc 0.1745 0.3490 0.2500 [6 per cell]
Ta 0.3333 0.6667 0.5391 [4 per cell]

Calculated values
spin magnetization: 3.5 μB per cell
density of states at the Fermi level: 6.1 states/eV/f.u.
calculated density: 7050 kg/m³


On energetic grounds, arrangement w is preferred over the next structure by 0.5 kJ/mol of atoms.


Arrangement w

Sc2Ta: optimized geometry, PBE.

Cell lengths 3.1043, 16.4032, 5.0089 Å; angles 90.00, 90.00, 90.00 degrees
Space group Cmcm (No. 63)
One atom of each set of equivalent atoms:
Sc 0.0000 0.0534 0.2500 [4 per cell]
Sc 0.0000 0.2774 0.7500 [4 per cell]
Ta 0.0000 0.3864 0.2500 [4 per cell]

Calculated values
spin magnetization: 0.0 μB per cell
density of states at the Fermi level: 2.8 states/eV/f.u.
calculated density: 7054 kg/m³


Arrangement x

Sc2Ta: optimized geometry, PBE.

Cell lengths 11.5696, 3.0753, 8.6052 Å; angles 90.00, 121.63, 90.00 degrees
Space group C2/m (No. 12)
One atom of each set of equivalent atoms:
Sc 0.1144 0.0000 0.3434 [4 per cell]
Sc 0.1451 0.5000 0.0243 [4 per cell]
Ta 0.1194 0.5000 0.6632 [4 per cell]

Calculated values
spin magnetization: 0.0 μB per cell
density of states at the Fermi level: 2.8 states/eV/f.u.
calculated density: 6901 kg/m³


On energetic grounds, arrangement x is preferred over the next structure by 4.8 kJ/mol of atoms.


Arrangement w

Sc2Ta: optimized geometry, PBE.

Cell lengths 15.0446, 3.0613, 5.6768 Å; angles 90.00, 97.64, 90.00 degrees
Space group C2/m (No. 12)
One atom of each set of equivalent atoms:
Sc 0.0795 0.0000 0.3769 [4 per cell]
Sc 0.2422 0.0000 0.7657 [4 per cell]
Ta 0.0800 0.5000 0.9040 [4 per cell]

Calculated values
spin magnetization: 0.0 μB per cell
density of states at the Fermi level: 3.1 states/eV/f.u.
calculated density: 6943 kg/m³


Arrangement x

Sc2Ta: optimized geometry, PBE.

Cell lengths 5.6653, 3.0528, 7.6505 Å; angles 90.00, 101.96, 90.00 degrees
Space group Pm (No. 6)
One atom of each set of equivalent atoms:
Sc 0.0000 0.0000 0.0000 [1 per cell]
Sc 0.0995 0.5000 0.6596 [1 per cell]
Sc 0.5815 0.0000 0.6643 [1 per cell]
Sc 0.7830 0.0000 0.3175 [1 per cell]
Ta 0.3233 0.5000 0.3255 [1 per cell]
Ta 0.4725 0.5000 0.0031 [1 per cell]

Calculated values
spin magnetization: 0.0 μB per cell
density of states at the Fermi level: 4.0 states/eV/f.u.
calculated density: 6949 kg/m³


Arrangement y

Sc2Ta: optimized geometry, PBE.

Cell lengths 7.9454, 7.9454, 7.9454 Å; angles 90.00, 90.00, 90.00 degrees
Space group Fd-3m (No. 227, origin choice 2)
One atom of each set of equivalent atoms:
Sc 0.0000 0.0000 0.0000 [16 per cell]
Ta 0.1250 0.1250 0.6250 [8 per cell]

Calculated values
spin magnetization: 0.0 μB per cell
density of states at the Fermi level: 6.9 states/eV/f.u.
calculated density: 7173 kg/m³


Arrangement z

Sc2Ta: optimized geometry, PBE.

Cell lengths 3.0020, 3.0020, 29.8196 Å; angles 90.00, 90.00, 90.00 degrees
Space group I4_1/amd (No. 141, origin choice 2)
One atom of each set of equivalent atoms:
Sc 0.0000 0.2500 0.3019 [8 per cell]
Ta 0.0000 0.2500 0.8750 [4 per cell]

Calculated values
spin magnetization: 0.0 μB per cell
density of states at the Fermi level: 4.5 states/eV/f.u.
calculated density: 6695 kg/m³


On energetic grounds, arrangement w is preferred over the next structure by 1.2 kJ/mol of atoms.


Arrangement w

Sc2Ta: optimized geometry, PBE.

Cell lengths 4.9520, 4.9520, 2.9473 Å; angles 90.00, 90.00, 120.00 degrees
Space group P6/mmm (No. 191)
One atom of each set of equivalent atoms:
Sc 0.3333 0.6667 0.0000 [2 per cell]
Ta 0.0000 0.0000 0.5000 [1 per cell]

Calculated values
spin magnetization: 0.0 μB per cell
density of states at the Fermi level: 4.8 states/eV/f.u.
calculated density: 7186 kg/m³


Arrangement x

Sc2Ta: optimized geometry, PBE.

Cell lengths 3.0284, 3.0284, 14.3170 Å; angles 90.00, 90.00, 90.00 degrees
Space group I4/mmm (No. 139)
One atom of each set of equivalent atoms:
Sc 0.0000 0.0000 0.1514 [4 per cell]
Ta 0.0000 0.0000 0.5000 [2 per cell]

Calculated values
spin magnetization: 0.0 μB per cell
density of states at the Fermi level: 3.9 states/eV/f.u.
calculated density: 6851 kg/m³


On energetic grounds, arrangement x is preferred over the next structure by 5.3 kJ/mol of atoms.


Arrangement w

Sc2Ta: optimized geometry, PBE.

Cell lengths 3.0942, 4.3546, 9.5053 Å; angles 90.00, 90.00, 90.00 degrees
Space group Immm (No. 71)
One atom of each set of equivalent atoms:
Sc 0.0000 0.0000 0.1592 [4 per cell]
Ta 0.0000 0.0000 0.5000 [2 per cell]

Calculated values
spin magnetization: 0.0 μB per cell
density of states at the Fermi level: 3.4 states/eV/f.u.
calculated density: 7024 kg/m³


Arrangement x

Sc2Ta: optimized geometry, PBE.

Cell lengths 3.0481, 4.9148, 8.4959 Å; angles 90.00, 90.00, 90.00 degrees
Space group Pmm2 (No. 25)
One atom of each set of equivalent atoms:
Sc 0.0000 0.0000 0.0000 [1 per cell]
Sc 0.0000 0.0000 0.3325 [1 per cell]
Sc 0.0000 0.5000 0.8057 [1 per cell]
Sc 0.5000 0.0000 0.6585 [1 per cell]
Ta 0.5000 0.5000 0.1508 [1 per cell]
Ta 0.5000 0.5000 0.4746 [1 per cell]

Calculated values
spin magnetization: 0.0 μB per cell
density of states at the Fermi level: 3.0 states/eV/f.u.
calculated density: 7068 kg/m³


On energetic grounds, arrangement x is preferred over the next structure by 3.8 kJ/mol of atoms.


Arrangement w

Sc5Ta3: optimized geometry, PBE.

Cell lengths 8.5056, 8.5056, 5.6168 Å; angles 90.00, 90.00, 120.00 degrees
Space group P6_3/mcm (No. 193)
One atom of each set of equivalent atoms:
Sc 0.0000 0.2441 0.2500 [6 per cell]
Sc 0.3333 0.6667 0.0000 [4 per cell]
Ta 0.0000 0.4157 0.7500 [6 per cell]

Calculated values
spin magnetization: 0.0 μB per cell
density of states at the Fermi level: 9.5 states/eV/f.u.
calculated density: 7244 kg/m³


Arrangement x

Sc5Ta3: optimized geometry, PBE.

Cell lengths 8.6568, 9.1471, 4.2932 Å; angles 90.00, 90.00, 90.00 degrees
Space group Cmmm (No. 65)
One atom of each set of equivalent atoms:
Sc 0.0000 0.0000 0.0000 [2 per cell]
Sc 0.0000 0.2587 0.5000 [4 per cell]
Sc 0.2500 0.2500 0.0000 [4 per cell]
Ta 0.0000 0.5000 0.0000 [2 per cell]
Ta 0.2307 0.5000 0.5000 [4 per cell]

Calculated values
spin magnetization: 0.0 μB per cell
density of states at the Fermi level: 10.8 states/eV/f.u.
calculated density: 7499 kg/m³


On energetic grounds, arrangement x is preferred over the next structure by 15.9 kJ/mol of atoms.


Arrangement w

Sc5Ta4: optimized geometry, PBE.

Cell lengths 10.5410, 10.5410, 3.4401 Å; angles 90.00, 90.00, 90.00 degrees
Space group I4/mmm (No. 139)
One atom of each set of equivalent atoms:
Sc 0.0000 0.0000 0.0000 [2 per cell]
Sc 0.1665 0.1665 0.5000 [8 per cell]
Ta 0.0000 0.3527 0.0000 [8 per cell]

Calculated values
spin magnetization: 0.0 μB per cell
density of states at the Fermi level: 13.3 states/eV/f.u.
calculated density: 8242 kg/m³


Arrangement x

Sc5Ta4: optimized geometry, PBE.

Cell lengths 8.4445, 8.4445, 6.0007 Å; angles 90.00, 90.00, 120.00 degrees
Space group P6_3/mcm (No. 193)
One atom of each set of equivalent atoms:
Sc 0.0000 0.3518 0.2500 [6 per cell]
Sc 0.3333 0.6667 0.0000 [4 per cell]
Ta 0.0000 0.0000 0.0000 [2 per cell]
Ta 0.0000 0.3012 0.7500 [6 per cell]

Calculated values
spin magnetization: 0.0 μB per cell
density of states at the Fermi level: 6.4 states/eV/f.u.
calculated density: 8501 kg/m³


On energetic grounds, arrangement w is preferred over the next structure by 3.4 kJ/mol of atoms.